VASP calculation (PBE-GGA) on BaHf2W after structural relaxation.

## Properties
The calculation puts the total DFT energy (no corrections) at -7.7561 eV per atom. The value obtained for the offset from the most stable computed form is 0 meV/atom. Its density of states at the Fermi level is 29.80 states/eV/cell. The value obtained for the magnetic moment is 0.000 μB/atom. Its energy relative to the elements is 21.668 kcal/mol of atoms.

abc: 7.1676 7.1676 7.1676
angles: 90.00 90.00 90.00
Closest atoms and distances in Å follow each position.
Space group Fm-3m (No. 225)
Symmetry-distinct sites (fractional):
Ba 0.0000 0.0000 0.0000 [4 per cell]  8 Hf 3.10
Hf 0.2500 0.2500 0.2500 [8 per cell]  4 Ba 3.10, 4 W 3.10
W 0.0000 0.0000 0.5000 [4 per cell]  8 Hf 3.10

***

VASP calculation (PBE-GGA) on Fe3SiNi after structural relaxation.

## Properties
The calculation puts the total DFT energy (no corrections) at -6.4871 eV per atom. The value obtained for the offset from the most stable computed form is 1088 meV/atom. Its density of states at the Fermi level is 5.74 states/eV/cell. The value obtained for the magnetic moment is 1.503 μB/atom. The calculation puts the uncorrected formation energy at 4.16 eV/f.u.

abc: 4.1890 4.1890 4.1890
angles: 90.00 90.00 90.00
Closest atoms and distances in Å follow each position.
Space group Pm-3m (No. 221)
Symmetry-distinct sites (fractional):
Fe 0.0000 0.0000 0.5000 [3 per cell]  2 Si 2.09
Si 0.0000 0.0000 0.0000 [1 per cell]  6 Fe 2.09
Ni 0.5000 0.5000 0.5000 [1 per cell]  12 Fe 2.96

***

VASP calculation (PBE-GGA) on Ba2TlS2 after structural relaxation.

## Properties
The calculation puts the total DFT energy (no corrections) at -4.3408 eV per atom. Its density of states at the Fermi level is 1.66 states/eV/cell. The value obtained for the magnetic moment is 0.000 μB/atom. The calculation puts the uncorrected formation energy at -7.24 eV/f.u.

abc: 8.6115 8.6115 4.1822
angles: 90.00 90.00 90.00
Closest atoms and distances in Å follow each position.
Space group P4/mbm (No. 127)
Symmetry-distinct sites (fractional):
Ba 0.1544 0.3456 0.0000 [4 per cell]  6 S 3.15-3.36
Tl 0.0000 0.0000 0.5000 [2 per cell]  4 S 3.27
S 0.1516 0.6516 0.5000 [4 per cell]  6 Ba 3.15-3.36, 2 Tl 3.27

***

VASP calculation (PBE-GGA) on HoEr5Al2 after structural relaxation.

## Properties
The calculation puts the total DFT energy (no corrections) at -4.4539 eV per atom. Its density of states at the Fermi level is 21.19 states/eV/cell. The value obtained for the magnetic moment is 0.000 μB/atom. Its energy relative to the elements is -2.174 kcal/mol of atoms.

abc: 3.4838 10.1564 12.3828
angles: 90.00 90.00 90.00
Closest atoms and distances in Å follow each position.
Space group Immm (No. 71)
Symmetry-distinct sites (fractional):
Ho 0.0000 0.0000 0.0000 [2 per cell]  4 Al 3.46, 2 Ho 3.48, 8 Er 3.68
Er 0.0000 0.2270 0.3637 [8 per cell]  3 Al 3.06-3.26, 5 Er 3.34-3.38
Er 0.0000 0.5000 0.0000 [2 per cell]  2 Al 3.20, 10 Er 3.35-3.48
Al 0.0000 0.5000 0.2587 [4 per cell]  7 Er 3.06-3.26

***

VASP calculation (PBE-GGA) on TlInCo2 after structural relaxation.

## Properties
The calculation puts the total DFT energy (no corrections) at -4.4436 eV per atom. The value obtained for the offset from the most stable computed form is 62 meV/atom. Its density of states at the Fermi level is 3.38 states/eV/cell. The value obtained for the magnetic moment is 0.217 μB/atom. Its energy relative to the elements is 8.890 kcal/mol of atoms.

abc: 3.1617 3.1617 6.3304
angles: 90.00 90.00 90.00
Closest atoms and distances in Å follow each position.
Space group P4/mmm (No. 123)
Symmetry-distinct sites (fractional):
Tl 0.0000 0.0000 0.0000 [1 per cell]  8 Co 2.77
In 0.0000 0.0000 0.5000 [1 per cell]  8 Co 2.71
Co 0.5000 0.5000 0.2571 [2 per cell]  4 In 2.71, 4 Tl 2.77

***

VASP calculation (PBE-GGA) on MgScHg2 after structural relaxation.

## Properties
The calculation puts the total DFT energy (no corrections) at -2.2722 eV per atom. Its density of states at the Fermi level is 9.85 states/eV/cell. The value obtained for the magnetic moment is 0.000 μB/atom. Its energy relative to the elements is -3.223 kcal/mol of atoms.

abc: 6.9700 6.9700 6.9700
angles: 90.00 90.00 90.00
Closest atoms and distances in Å follow each position.
Space group F-43m (No. 216)
Symmetry-distinct sites (fractional):
Mg 0.0000 0.0000 0.0000 [4 per cell]  4 Sc 3.02, 4 Hg 3.02
Sc 0.2500 0.2500 0.2500 [4 per cell]  4 Hg 3.02, 4 Mg 3.02
Hg 0.0000 0.0000 0.5000 [4 per cell]  4 Hg 3.02, 4 Sc 3.02
Hg 0.2500 0.2500 0.7500 [4 per cell]  4 Hg 3.02, 4 Mg 3.02

***

VASP calculation (PBE-GGA) on Li2OsO6 after structural relaxation.

## Properties
The calculation puts the total DFT energy (no corrections) at -5.9415 eV per atom. The value obtained for the offset from the most stable computed form is 0 meV/atom. The value obtained for the magnetic moment is 0.223 μB/atom. The calculation puts the uncorrected formation energy at -8.67 eV/f.u.

abc: 9.8052 9.3870 5.1891
angles: 90.00 107.65 90.00
Closest atoms and distances in Å follow each position.
Space group C2/c (No. 15)
Symmetry-distinct sites (fractional):
Li 0.0000 0.0381 0.2500 [4 per cell]  4 O 2.02-2.07
Li 0.2500 0.2500 0.5000 [4 per cell]  6 O 2.10-2.33
Os 0.0000 0.2943 0.7500 [4 per cell]  4 O 1.75-1.82
O 0.0977 0.1282 0.6136 [8 per cell]  3 Li 2.02-2.10, 1 Os 2.06, 1 O 2.21
O 0.1032 0.2411 0.0917 [8 per cell]  1 Os 1.82
O 0.1281 0.4098 0.6957 [8 per cell]  1 Os 1.75

***

VASP calculation (PBE-GGA) on Th2FeTc2N6 after structural relaxation.

## Properties
The calculation puts the total DFT energy (no corrections) at -8.8422 eV per atom. Its density of states at the Fermi level is 23.55 states/eV/cell. The value obtained for the magnetic moment is 0.138 μB/atom. The calculation puts the uncorrected formation energy at -3.28 eV/f.u.

abc: 5.8861 5.8861 14.9886
angles: 90.00 90.00 120.00
Closest atoms and distances in Å follow each position.
Space group R-3m (No. 166, hexagonal axes)
Symmetry-distinct sites (fractional):
Th 0.0000 0.0000 0.2080 [6 per cell]  3 N 2.41
Fe 0.0000 0.0000 0.0000 [3 per cell]  6 N 1.95
Tc 0.0000 0.0000 0.4229 [6 per cell]  3 N 1.89
N 0.0376 0.5188 0.7496 [18 per cell]  1 Tc 1.89, 1 Fe 1.95

***

VASP calculation (PBE-GGA) on Al2ReAs after structural relaxation.

## Properties
The calculation puts the total DFT energy (no corrections) at -5.9056 eV per atom. The value obtained for the offset from the most stable computed form is 306 meV/atom. Its density of states at the Fermi level is 3.12 states/eV/cell. The value obtained for the magnetic moment is 0.000 μB/atom. Its energy relative to the elements is 5.537 kcal/mol of atoms.

abc: 3.3004 4.2444 4.3861
angles: 90.00 90.00 90.00
Closest atoms and distances in Å follow each position.
Space group Pmmm (No. 47)
Symmetry-distinct sites (fractional):
Al 0.0000 0.0000 0.0000 [1 per cell]  4 As 2.69, 4 Al 2.74
Al 0.5000 0.0000 0.5000 [1 per cell]  4 Re 2.69, 4 Al 2.74
Re 0.0000 0.5000 0.5000 [1 per cell]  4 Al 2.69, 4 As 2.74
As 0.5000 0.5000 0.0000 [1 per cell]  4 Al 2.69, 4 Re 2.74

***

VASP calculation (PBE-GGA) on ZnGaSn2 after structural relaxation.

## Properties
The calculation puts the total DFT energy (no corrections) at -2.9739 eV per atom. The value obtained for the offset from the most stable computed form is 15 meV/atom. Its density of states at the Fermi level is 8.19 states/eV/cell. The value obtained for the magnetic moment is 0.000 μB/atom. Its energy relative to the elements is 2.370 kcal/mol of atoms.

abc: 7.1449 7.1449 7.1449
angles: 90.00 90.00 90.00
Closest atoms and distances in Å follow each position.
Space group Fm-3m (No. 225)
Symmetry-distinct sites (fractional):
Zn 0.0000 0.0000 0.0000 [4 per cell]  8 Sn 3.09
Ga 0.0000 0.0000 0.5000 [4 per cell]  8 Sn 3.09
Sn 0.2500 0.2500 0.2500 [8 per cell]  4 Zn 3.09, 4 Ga 3.09

***

Among the records above, which one has the lowest total DFT energy (no corrections)? Th2FeTc2N6

***

Which value of magnetic moment does entry 8 give? 0.138 μB/atom

***

Which of these has the highest total DFT energy (no corrections)? MgScHg2